1.
Below is crystalline NbGaOs at its relaxed geometry, with properties calculated at the PBE-GGA level. Values from VASP.

- DOS(E_F): 0.91 states/eV per atom
- Total magnetization: 0.000 μB per formula unit
- ΔH_f (0 K): -0.1874 eV/atom
- SG: No. 187

```
&SYSTEM
  ibrav = 0, nat = 3, ntyp = 3
/
ATOMIC_SPECIES
Nb 92.91 Nb.upf
Ga 69.72 Ga.upf
Os 190.23 Os.upf
CELL_PARAMETERS angstrom
4.3607 0.0000 0.0000
-2.1803 3.7765 0.0000
0.0000 0.0000 2.9003
ATOMIC_POSITIONS angstrom
Nb 0.0000 0.0000 0.0000
Ga 2.1803 1.2588 1.4501
Os 0.0000 2.5176 1.4501
```

---

2.
Below is crystalline LiCd5Ag2 at its relaxed geometry, with properties calculated at the PBE-GGA level. Values from VASP.

- DOS(E_F): 0.27 states/eV per atom
- Energy above the most stable polymorph in this dataset: 66 meV per atom
- Total magnetization: 0.000 μB per formula unit
- ΔH_f (0 K): -0.0339 eV/atom
- SG: No. 140

```
&SYSTEM
  ibrav = 0, nat = 16, ntyp = 3
/
ATOMIC_SPECIES
Li 6.94 Li.upf
Cd 112.41 Cd.upf
Ag 107.87 Ag.upf
CELL_PARAMETERS angstrom
-3.7531 3.7531 5.8673
3.7531 -3.7531 5.8673
3.7531 3.7531 -5.8673
ATOMIC_POSITIONS angstrom
Li 0.0000 0.0000 2.9336
Li 0.0000 0.0000 8.8009
Cd 0.0000 0.0000 0.0000
Cd 2.5924 -1.1606 1.8945
Cd 4.9137 -1.1606 3.9727
Cd 4.9137 1.1606 1.8945
Cd 2.5924 1.1606 3.9727
Cd 0.0000 0.0000 5.8673
Cd 1.1606 2.5924 1.8945
Cd -1.1606 2.5924 3.9727
Cd -1.1606 4.9137 1.8945
Cd 1.1606 4.9137 3.9727
Ag 2.6981 1.0550 0.0000
Ag 2.6981 -1.0550 5.8673
Ag 1.0550 4.8080 0.0000
Ag 1.0550 2.6981 5.8673
```

---

3.
Below is crystalline DyHo2Sn at its relaxed geometry, with properties calculated at the PBE-GGA level. Values from VASP.

- DOS(E_F): 1.16 states/eV per atom
- Energy above the most stable polymorph in this dataset: 145 meV per atom
- Total magnetization: 0.000 μB per formula unit
- ΔH_f (0 K): -0.2672 eV/atom
- SG: No. 63

```
&SYSTEM
  ibrav = 0, nat = 8, ntyp = 3
/
ATOMIC_SPECIES
Dy 162.50 Dy.upf
Ho 164.93 Ho.upf
Sn 118.71 Sn.upf
CELL_PARAMETERS angstrom
2.7397 -6.3316 0.0000
2.7397 6.3316 0.0000
0.0000 0.0000 6.7598
ATOMIC_POSITIONS angstrom
Dy 2.7397 5.4436 5.0698
Dy 2.7397 -5.4436 1.6899
Ho 2.7397 1.6768 3.4957
Ho 2.7397 1.6768 6.6440
Ho 2.7397 -1.6768 0.1158
Ho 2.7397 -1.6768 3.2641
Sn 2.7397 4.1635 1.6899
Sn 2.7397 -4.1635 5.0698
```

---

Q: ΔH_f (0 K) of number 2 (LiCd5Ag2)?
A: -0.0339 eV/atom

---

Q: Which of these has the highest ΔH_f (0 K)?
A: LiCd5Ag2

---

Q: Which value of DOS(E_F) does entry 3 give?
A: 1.16 states/eV per atom